Below is a relaxed structure of SmHoCuAg, with properties calculated at the GGA-PBE level.

extended XYZ file:
```
4
Lattice="3.563 0.000 0.000 0.000 3.563 0.000 0.000 0.000 7.251" Properties=species:S:1:pos:R:3 pbc="T T T"
Sm 0.000 0.000 0.000
Ho 0.000 0.000 3.426
Cu 1.782 1.782 1.817
Ag 1.782 1.782 5.235
```

Calculated values
The calculation puts the formation energy at -262 meV per atom. Its symmetry is P4mm.